Record 1
Ba2RuF8 | PBE | optimized geometry Values from VASP.

```
&SYSTEM
  ibrav = 0, nat = 11, ntyp = 3
/
ATOMIC_SPECIES
F 19.00 F.upf
Ru 101.07 Ru.upf
Ba 137.33 Ba.upf
CELL_PARAMETERS angstrom
4.615 0.661 1.847
1.521 6.660 2.329
0.489 0.266 7.197
ATOMIC_POSITIONS crystal
F 0.374 0.410 0.410
F 0.010 0.950 0.288
F 0.557 0.109 0.109
F 0.626 0.590 0.590
F 0.990 0.050 0.712
F 0.990 0.712 0.050
F 0.443 0.891 0.891
F 0.010 0.288 0.950
Ru 0.000 0.000 0.000
Ba 0.034 0.664 0.664
Ba 0.966 0.336 0.336
```

Output
The calculation puts the raw formation energy at -2.933 eV per atom. The space-group type is C2/m. The total moment is 2.0 Bohr magnetons per cell.


Record 2
BaSbBr2 | PBE | optimized geometry Values from VASP.

```
&SYSTEM
  ibrav = 0, nat = 4, ntyp = 3
/
ATOMIC_SPECIES
Sb 121.76 Sb.upf
Ba 137.33 Ba.upf
Br 79.90 Br.upf
CELL_PARAMETERS angstrom
2.234 0.000 11.106
-1.117 1.935 11.106
-1.117 -1.935 11.106
ATOMIC_POSITIONS crystal
Sb 0.500 0.500 0.500
Ba 0.000 0.000 0.000
Br 0.907 0.907 0.907
Br 0.093 0.093 0.093
```

Output
The calculation puts the raw formation energy at -0.312 eV per atom. The space-group type is R-3m. The total moment is 0.0 Bohr magnetons per cell.


- Which value of total moment does entry 1 give?
  2.0 Bohr magnetons per cell